Material: CrO2F4
Method: DFT, GGA+U
State: relaxed

## Properties
Size of the total moment = 4.000 μB/cell
Total DFT energy (no corrections) = -5.144 eV per atom
Mass density = 2614 kg/m3

Cell lengths 3.0626, 5.1337, 6.7748 Å; angles 94.24, 91.50, 106.64 degrees
With the nearest neighbours (Å) after each atom.
Space group P-1 (No. 2)
One atom of each set of equivalent atoms:
Cr1 0.0000 0.0000 0.0000 [1 per cell]  6 F 1.80-1.98
O1 0.4153 0.5802 0.4656 [2 per cell]  1 O 1.21
F1 0.0084 0.0511 0.7396 [2 per cell]  1 Cr 1.80
F2 0.3843 0.7506 0.9574 [2 per cell]  2 Cr 1.95-1.98